Entry 1:
The following is a GGA-PBE calculation of an optimized crystal structure of Ho7Sn2Pd2, from the Alexandria database.

Calculated values
Volume (Å³/atom): 28.8
ΔH_f (0 K) (eV per atom): -0.44
Total moment (μB per cell): 0.0

a b c (Å): 8.191 11.009 7.023
angles (deg): 90.00 90.00 90.00
Space group Cmmm (No. 65)
Asymmetric unit:
Ho: 0.000 0.000 0.000 (multiplicity 2)
Ho: 0.000 0.500 0.243 (multiplicity 4)
Ho: 0.250 0.250 0.255 (multiplicity 8)
Sn: 0.180 0.000 0.500 (multiplicity 4)
Pd: 0.000 0.286 0.000 (multiplicity 4)


Entry 2:
The following is a GGA-PBE calculation of an optimized crystal structure of ZrTiIrAu, from the Alexandria database.

Calculated values
Volume (Å³/atom): 17.8
ΔH_f (0 K) (eV per atom): -0.51
Total moment (μB per cell): 0.0

a b c (Å): 6.581 6.581 6.581
angles (deg): 90.00 90.00 90.00
Space group F-43m (No. 216)
Asymmetric unit:
Zr: 0.000 0.000 0.000 (multiplicity 4)
Ti: 0.000 0.000 0.500 (multiplicity 4)
Ir: 0.250 0.250 0.750 (multiplicity 4)
Au: 0.250 0.250 0.250 (multiplicity 4)


Entry 3:
The following is a GGA-PBE calculation of an optimized crystal structure of CoSi2Se, from the Alexandria database.

Calculated values
Volume (Å³/atom): 14.5
Formation energy without anion corrections (eV per atom): 0.498
Total moment (μB per cell): 3.1

a b c (Å): 6.141 6.141 6.141
angles (deg): 90.00 90.00 90.00
Space group F-43m (No. 216)
Asymmetric unit:
Co: 0.000 0.000 0.000 (multiplicity 4)
Si: 0.000 0.000 0.500 (multiplicity 4)
Si: 0.250 0.250 0.750 (multiplicity 4)
Se: 0.250 0.250 0.250 (multiplicity 4)


Entry 4:
The following is a GGA-PBE calculation of an optimized crystal structure of YSe2BrCl, from the Alexandria database.

Calculated values
Volume (Å³/atom): 34.9
Formation energy without anion corrections (eV per atom): -0.511
Relative energy among the computed polymorphs (meV per atom): 0
Total moment (μB per cell): 3.0

a b c (Å): 5.652 5.652 5.461
angles (deg): 90.00 90.00 90.00
Space group P4/mmm (No. 123)
Asymmetric unit:
Y: 0.000 0.000 0.000 (multiplicity 1)
Se: 0.000 0.500 0.000 (multiplicity 2)
Br: 0.000 0.000 0.500 (multiplicity 1)
Cl: 0.500 0.500 0.500 (multiplicity 1)


Entry 5:
The following is a GGA-PBE calculation of an optimized crystal structure of Mg2CoIr, from the Alexandria database.

Calculated values
Volume (Å³/atom): 15.1
Relative energy among the computed polymorphs (meV per atom): 146
ΔH_f (0 K) (eV per atom): 0.05
Total moment (μB per cell): 4.0

a b c (Å): 2.8519 2.8519 25.8088
angles (deg): 90.00 90.00 120.00
Space group R-3m (No. 166, hexagonal axes)
Asymmetric unit:
Mg: 0.0000 0.0000 0.2487 (multiplicity 6)
Co: 0.0000 0.0000 0.5000 (multiplicity 3)
Ir: 0.0000 0.0000 0.0000 (multiplicity 3)


Entry 6:
The following is a GGA-PBE calculation of an optimized crystal structure of KGaP3, from the Alexandria database.

Calculated values
Volume (Å³/atom): 30.8
Relative energy among the computed polymorphs (meV per atom): 1282
ΔH_f (0 K) (eV per atom): 1.81
Total moment (μB per cell): 0.0

a b c (Å): 5.361 5.361 5.361
angles (deg): 90.00 90.00 90.00
Space group Pm-3m (No. 221)
Asymmetric unit:
K: 0.000 0.000 0.000 (multiplicity 1)
Ga: 0.500 0.500 0.500 (multiplicity 1)
P: 0.000 0.000 0.500 (multiplicity 3)


Entry 7:
The following is a GGA-PBE calculation of an optimized crystal structure of Nd2As3Pt4Rh, from the Alexandria database.

Calculated values
Volume (Å³/atom): 19.5
ΔH_f (0 K) (eV per atom): -0.74
Total moment (μB per cell): 0.0

a b c (Å): 4.321 4.321 10.466
angles (deg): 90.00 90.00 90.00
Space group P-4m2 (No. 115)
Asymmetric unit:
Nd: 0.000 0.500 0.249 (multiplicity 2)
As: 0.000 0.000 0.000 (multiplicity 1)
As: 0.000 0.500 0.630 (multiplicity 2)
Pt: 0.000 0.000 0.500 (multiplicity 1)
Pt: 0.000 0.500 0.860 (multiplicity 2)
Pt: 0.500 0.500 0.500 (multiplicity 1)
Rh: 0.500 0.500 0.000 (multiplicity 1)


Entry 8:
The following is a GGA-PBE calculation of an optimized crystal structure of SnHgC3, from the Alexandria database.

Calculated values
Volume (Å³/atom): 16.8
Relative energy among the computed polymorphs (meV per atom): 284
ΔH_f (0 K) (eV per atom): 3.23
Total moment (μB per cell): 2.0

a b c (Å): 4.379 4.379 4.379
angles (deg): 90.00 90.00 90.00
Space group Pm-3m (No. 221)
Asymmetric unit:
Sn: 0.000 0.000 0.000 (multiplicity 1)
Hg: 0.500 0.500 0.500 (multiplicity 1)
C: 0.000 0.500 0.500 (multiplicity 3)


Entry 9:
The following is a GGA-PBE calculation of an optimized crystal structure of Be2TeP, from the Alexandria database.

Calculated values
Volume (Å³/atom): 15.3
Formation energy without anion corrections (eV per atom): 0.780
Relative energy among the computed polymorphs (meV per atom): 911
Total moment (μB per cell): 0.0

a b c (Å): 4.266 4.266 3.362
angles (deg): 90.00 90.00 90.00
Space group P4/mmm (No. 123)
Asymmetric unit:
Be: 0.000 0.500 0.000 (multiplicity 2)
Te: 0.000 0.000 0.500 (multiplicity 1)
P: 0.500 0.500 0.500 (multiplicity 1)


Entry 10:
The following is a GGA-PBE calculation of an optimized crystal structure of TeP2RhO, from the Alexandria database.

Calculated values
Volume (Å³/atom): 19.0
Formation energy without anion corrections (eV per atom): 0.866
Relative energy among the computed polymorphs (meV per atom): 704
Total moment (μB per cell): 0.0

a b c (Å): 5.002 5.002 3.806
angles (deg): 90.00 90.00 90.00
Space group P4/mmm (No. 123)
Asymmetric unit:
Te: 0.000 0.000 0.000 (multiplicity 1)
P: 0.000 0.500 0.000 (multiplicity 2)
Rh: 0.500 0.500 0.500 (multiplicity 1)
O: 0.000 0.000 0.500 (multiplicity 1)


Entry 11:
The following is a GGA-PBE calculation of an optimized crystal structure of Ba2MnMo, from the Alexandria database.

Calculated values
Volume (Å³/atom): 32.7
Relative energy among the computed polymorphs (meV per atom): 603
ΔH_f (0 K) (eV per atom): 1.13
Total moment (μB per cell): 6.9

a b c (Å): 3.963 3.963 8.340
angles (deg): 90.00 90.00 90.00
Space group P4/mmm (No. 123)
Asymmetric unit:
Ba: 0.000 0.000 0.246 (multiplicity 2)
Mn: 0.500 0.500 0.500 (multiplicity 1)
Mo: 0.500 0.500 0.000 (multiplicity 1)


Entry 12:
The following is a GGA-PBE calculation of an optimized crystal structure of RbLiTePb, from the Alexandria database.

Calculated values
Volume (Å³/atom): 37.1
Formation energy without anion corrections (eV per atom): -0.617
Total moment (μB per cell): 0.0

a b c (Å): 4.519 4.519 14.517
angles (deg): 90.00 90.00 90.00
Space group P4/nmm (No. 129, origin choice 2)
Asymmetric unit:
Rb: 0.250 0.250 0.231 (multiplicity 2)
Li: 0.250 0.750 0.000 (multiplicity 2)
Te: 0.250 0.250 0.885 (multiplicity 2)
Pb: 0.250 0.750 0.500 (multiplicity 2)


Entry 13:
The following is a GGA-PBE calculation of an optimized crystal structure of AsSe2BrCl, from the Alexandria database.

Calculated values
Volume (Å³/atom): 29.1
Formation energy without anion corrections (eV per atom): 1.064
Relative energy among the computed polymorphs (meV per atom): 606
Total moment (μB per cell): 0.5

a b c (Å): 5.055 5.055 5.685
angles (deg): 90.00 90.00 90.00
Space group P4/mmm (No. 123)
Asymmetric unit:
As: 0.000 0.000 0.000 (multiplicity 1)
Se: 0.000 0.500 0.500 (multiplicity 2)
Br: 0.000 0.000 0.500 (multiplicity 1)
Cl: 0.500 0.500 0.000 (multiplicity 1)


Entry 14:
The following is a GGA-PBE calculation of an optimized crystal structure of Pm2Dy2HoTm4, from the Alexandria database.

Calculated values
Volume (Å³/atom): 31.4
ΔH_f (0 K) (eV per atom): 0.00
Total moment (μB per cell): 0.0

a b c (Å): 18.529 3.569 9.486
angles (deg): 90.00 115.76 90.00
Space group C2/m (No. 12)
Asymmetric unit:
Pm: 0.166 0.000 0.000 (multiplicity 4)
Dy: 0.147 0.500 0.662 (multiplicity 4)
Ho: 0.000 0.500 0.000 (multiplicity 2)
Tm: 0.020 0.000 0.335 (multiplicity 4)
Tm: 0.185 0.500 0.337 (multiplicity 4)


Entry 15:
The following is a GGA-PBE calculation of an optimized crystal structure of ReTe2Br, from the Alexandria database.

Calculated values
Volume (Å³/atom): 27.6
Formation energy without anion corrections (eV per atom): 0.418
Relative energy among the computed polymorphs (meV per atom): 457
Total moment (μB per cell): 0.0

a b c (Å): 3.354 4.977 13.226
angles (deg): 90.00 90.00 90.00
Space group Imm2 (No. 44)
Asymmetric unit:
Re: 0.000 0.000 0.000 (multiplicity 2)
Te: 0.000 0.000 0.522 (multiplicity 2)
Te: 0.000 0.500 0.656 (multiplicity 2)
Br: 0.000 0.500 0.340 (multiplicity 2)


Entry 16:
The following is a GGA-PBE calculation of an optimized crystal structure of Sm8NiIr3Br4, from the Alexandria database.

Calculated values
Volume (Å³/atom): 28.0
Formation energy without anion corrections (eV per atom): -1.039
Total moment (μB per cell): 0.0

a b c (Å): 8.1992 8.1992 23.1208
angles (deg): 90.00 90.00 120.00
Space group R-3m (No. 166, hexagonal axes)
Asymmetric unit:
Sm: 0.0000 0.0000 0.2320 (multiplicity 6)
Sm: 0.0023 0.5012 0.2309 (multiplicity 18)
Ni: 0.0000 0.0000 0.5000 (multiplicity 3)
Ir: 0.0000 0.5000 0.5000 (multiplicity 9)
Br: 0.0000 0.0000 0.0000 (multiplicity 3)
Br: 0.0000 0.5000 0.0000 (multiplicity 9)


Entry 17:
The following is a GGA-PBE calculation of an optimized crystal structure of ZnHgIr2, from the Alexandria database.

Calculated values
Volume (Å³/atom): 16.5
ΔH_f (0 K) (eV per atom): 0.32
Total moment (μB per cell): 0.0

a b c (Å): 2.788 4.951 9.553
angles (deg): 90.00 90.00 90.00
Space group Cmm2 (No. 35)
Asymmetric unit:
Zn: 0.000 0.000 0.000 (multiplicity 2)
Hg: 0.000 0.500 0.729 (multiplicity 2)
Ir: 0.000 0.000 0.463 (multiplicity 2)
Ir: 0.000 0.500 0.228 (multiplicity 2)